VASP calculation (PBE) on an optimized crystal structure of TlIn2Ru.

Output
energy relative to the lowest polymorph listed for this composition	284	meV/atom
total magnetization	0.00	μB per formula unit
SG	I-4m2 (119)

Cell lengths 4.310, 4.310, 8.898 Å; angles 90.00, 90.00, 90.00 degrees
Sites, in units of the cell vectors:
Tl: 0.000 0.000 0.000
Tl: 0.500 0.500 0.500
In: 0.000 0.000 0.500
In: 0.000 0.500 0.750
In: 0.500 0.000 0.250
In: 0.500 0.500 0.000
Ru: 0.000 0.500 0.250
Ru: 0.500 0.000 0.750

---

VASP calculation (PBE) on an optimized crystal structure of TlIn2Ru.

Output
energy relative to the lowest polymorph listed for this composition	370	meV/atom
total magnetization	0.00	μB per formula unit
SG	Pmmm (47)

Cell lengths 3.474, 4.884, 4.997 Å; angles 90.00, 90.00, 90.00 degrees
Sites, in units of the cell vectors:
Tl: 0.000 0.000 0.000
In: 0.000 0.500 0.500
In: 0.500 0.000 0.500
Ru: 0.500 0.500 0.000

---

VASP calculation (PBE) on an optimized crystal structure of TlInRu2.

Output
energy relative to the lowest polymorph listed for this composition	168	meV/atom
total magnetization	0.00	μB per formula unit
SG	R3m (160)

Cell lengths 3.034, 3.034, 28.096 Å; angles 90.00, 90.00, 120.00 degrees
Sites, in units of the cell vectors:
Tl: 0.000 0.000 0.000
Tl: 0.333 0.667 0.667
Tl: 0.667 0.333 0.333
In: 0.000 0.000 0.766
In: 0.333 0.667 0.433
In: 0.667 0.333 0.100
Ru: 0.000 0.000 0.249
Ru: 0.000 0.000 0.513
Ru: 0.333 0.667 0.180
Ru: 0.333 0.667 0.915
Ru: 0.667 0.333 0.582
Ru: 0.667 0.333 0.847

---

VASP calculation (PBE) on an optimized crystal structure of TlInRu2.

Output
energy relative to the lowest polymorph listed for this composition	76	meV/atom
total magnetization	0.00	μB per formula unit
SG	Fm-3m (225)

Cell lengths 6.528, 6.528, 6.528 Å; angles 90.00, 90.00, 90.00 degrees
Sites, in units of the cell vectors:
Tl: 0.000 0.000 0.000
Tl: 0.000 0.500 0.500
Tl: 0.500 0.000 0.500
Tl: 0.500 0.500 0.000
In: 0.000 0.000 0.500
In: 0.000 0.500 0.000
In: 0.500 0.000 0.000
In: 0.500 0.500 0.500
Ru: 0.250 0.250 0.250
Ru: 0.250 0.250 0.750
Ru: 0.250 0.750 0.250
Ru: 0.250 0.750 0.750
Ru: 0.750 0.250 0.250
Ru: 0.750 0.250 0.750
Ru: 0.750 0.750 0.250
Ru: 0.750 0.750 0.750

---

VASP calculation (PBE) on an optimized crystal structure of TlInRu2.

Output
energy relative to the lowest polymorph listed for this composition	555	meV/atom
total magnetization	2.05	μB per formula unit
SG	I-42d (122)

Cell lengths 7.384, 7.384, 5.811 Å; angles 90.00, 90.00, 90.00 degrees
Sites, in units of the cell vectors:
Tl: 0.000 0.000 0.000
Tl: 0.000 0.500 0.250
Tl: 0.500 0.000 0.750
Tl: 0.500 0.500 0.500
In: 0.000 0.000 0.500
In: 0.000 0.500 0.750
In: 0.500 0.000 0.250
In: 0.500 0.500 0.000
Ru: 0.244 0.250 0.625
Ru: 0.250 0.744 0.875
Ru: 0.250 0.756 0.375
Ru: 0.256 0.250 0.125
Ru: 0.744 0.750 0.125
Ru: 0.750 0.244 0.375
Ru: 0.750 0.256 0.875
Ru: 0.756 0.750 0.625

---

VASP calculation (PBE) on an optimized crystal structure of TlInRu2.

Output
energy relative to the lowest polymorph listed for this composition	160	meV/atom
total magnetization	0.00	μB per formula unit
SG	C2/m (12)

Cell lengths 8.852, 3.092, 5.484 Å; angles 90.00, 102.63, 90.00 degrees
Sites, in units of the cell vectors:
Tl: 0.000 0.000 0.000
Tl: 0.500 0.500 0.000
In: 0.000 0.500 0.500
In: 0.500 0.000 0.500
Ru: 0.249 0.000 0.714
Ru: 0.251 0.500 0.286
Ru: 0.749 0.500 0.714
Ru: 0.751 0.000 0.286

---

VASP calculation (PBE) on an optimized crystal structure of TlInRu2.

Output
energy relative to the lowest polymorph listed for this composition	64	meV/atom
total magnetization	0.00	μB per formula unit
SG	Cm (8)

Cell lengths 10.340, 3.038, 4.832 Å; angles 90.00, 109.90, 90.00 degrees
Sites, in units of the cell vectors:
Tl: 0.000 0.000 0.000
Tl: 0.500 0.500 0.000
In: 0.283 0.500 0.389
In: 0.783 0.000 0.389
Ru: 0.038 0.500 0.517
Ru: 0.245 0.000 0.873
Ru: 0.538 0.000 0.517
Ru: 0.745 0.500 0.873

---

VASP calculation (PBE) on an optimized crystal structure of TlInRu2.

Output
energy relative to the lowest polymorph listed for this composition	0	meV/atom
total magnetization	0.00	μB per formula unit
SG	P4mm (99)

Cell lengths 2.971, 2.971, 8.659 Å; angles 90.00, 90.00, 90.00 degrees
Sites, in units of the cell vectors:
Tl: 0.000 0.000 0.000
In: 0.500 0.500 0.339
Ru: 0.000 0.000 0.570
Ru: 0.500 0.500 0.748

---

VASP calculation (PBE) on an optimized crystal structure of TlIn2Ru.

Output
energy relative to the lowest polymorph listed for this composition	150	meV/atom
total magnetization	0.00	μB per formula unit
SG	Pmm2 (25)

Cell lengths 3.194, 3.247, 8.816 Å; angles 90.00, 90.00, 90.00 degrees
Sites, in units of the cell vectors:
Tl: 0.000 0.000 0.000
In: 0.000 0.000 0.387
In: 0.500 0.500 0.684
Ru: 0.500 0.500 0.208

---

VASP calculation (PBE) on an optimized crystal structure of TlIn2Ru.

Output
energy relative to the lowest polymorph listed for this composition	210	meV/atom
total magnetization	0.00	μB per formula unit
SG	Pm (6)

Cell lengths 3.630, 4.448, 5.722 Å; angles 90.00, 108.46, 90.00 degrees
Sites, in units of the cell vectors:
Tl: 0.000 0.000 0.000
In: 0.274 0.000 0.550
In: 0.683 0.500 0.368
Ru: 0.420 0.500 0.839

---

VASP calculation (PBE) on an optimized crystal structure of Tl4InRu.

Output
total magnetization	1.81	μB per formula unit
SG	F-43m (216)

Cell lengths 6.179, 6.179, 6.179 Å; angles 60.00, 60.00, 60.00 degrees
Sites, in units of the cell vectors:
Tl: 0.376 0.376 0.376
Tl: 0.376 0.376 0.873
Tl: 0.376 0.873 0.376
Tl: 0.873 0.376 0.376
In: 0.000 0.000 0.000
Ru: 0.750 0.750 0.750

---

VASP calculation (PBE) on an optimized crystal structure of TlIn2Ru.

Output
energy relative to the lowest polymorph listed for this composition	321	meV/atom
total magnetization	0.00	μB per formula unit
SG	P4/mmm (123)

Cell lengths 5.053, 5.053, 3.340 Å; angles 90.00, 90.00, 90.00 degrees
Sites, in units of the cell vectors:
Tl: 0.000 0.000 0.000
In: 0.000 0.500 0.500
In: 0.500 0.000 0.500
Ru: 0.500 0.500 0.000

---

It is found that the formation energy from the elements values, taken in the order of the records, are 382, 468, 462, 369, 849, 454, 357, 294, 247, 308, 764, 419 meV/atom.
It is found that the energy values, taken in the order of the records, are -3.898, -3.812, -5.452, -5.545, -5.065, -5.460, -5.557, -5.621, -4.032, -3.972, -2.816, -3.861 eV per atom.